DFT (GGA+U) results for an optimized crystal structure of KCrRuO6.

Lattice parameters (Å, degrees): 5.0960 5.1791 5.9501 90.10 91.51 118.13
Closest atoms and distances in Å follow each position.
Space group P1 (No. 1)
Unique sites:
K 0.0000 0.0000 0.0000  6 O 2.78-2.84
Cr 0.3304 0.6829 0.5203  5 O 1.80-1.99
Ru 0.6756 0.3365 0.4913  6 O 1.85-2.04
O 0.0008 0.5954 0.3166  1 Ru 1.90, 1 Cr 1.92
O 0.3923 0.0009 0.6843  1 Cr 1.80
O 0.4059 0.4096 0.3207  1 Ru 1.87, 1 Cr 2.02
O 0.5897 0.5833 0.6895  1 Cr 1.90, 1 Ru 1.94
O 0.6149 0.0056 0.3315  1 Ru 1.85, 1 Cr 1.99
O 0.9924 0.4178 0.6974  1 Ru 1.88, 1 Cr 1.96

Raw total energy, eV/atom: -6.445
Volume, Å³/atom: 15.380
Density of states at the Fermi level, states/eV per atom: 0.18